Entry from the Open Quantum Materials Database: a relaxed FeH4C6N6 crystal (PBE-GGA).

abc: 6.850 11.085 6.035
angles: 90.00 104.88 90.00
Positions (direct):
N  0.828  0.625  0.364
N  0.569  0.278  0.302
N  0.328  0.875  0.364
N  0.326  0.082  0.780
N  0.674  0.918  0.220
N  0.172  0.375  0.636
N  0.672  0.125  0.636
N  0.826  0.418  0.780
N  0.069  0.222  0.302
N  0.931  0.778  0.698
N  0.174  0.582  0.220
N  0.431  0.722  0.698
H  0.552  0.898  0.287
H  0.948  0.398  0.713
H  0.109  0.289  0.438
H  0.609  0.211  0.438
H  0.391  0.789  0.562
H  0.891  0.711  0.562
H  0.448  0.102  0.713
H  0.052  0.602  0.287
C  0.200  0.050  0.866
C  0.541  0.364  0.184
C  0.300  0.550  0.134
C  0.196  0.920  0.225
C  0.800  0.950  0.134
C  0.696  0.580  0.225
C  0.459  0.636  0.816
C  0.304  0.420  0.775
C  0.700  0.450  0.866
C  0.041  0.136  0.184
C  0.959  0.864  0.816
C  0.804  0.080  0.775
Fe  0.500  0.500  0.000
Fe  0.000  0.000  0.000

Summary:
The calculated volume comes out at 442.9 Å³/cell. The calculated total energy is -7.276 eV/atom.

---

Entry from the Open Quantum Materials Database: a relaxed FeH12PdC20N8 crystal (PBE-GGA).

abc: 7.066 7.091 10.105
angles: 70.96 74.45 89.94
Positions (direct):
H  0.374  0.678  0.489
H  0.571  0.765  0.616
H  0.726  0.619  0.826
H  0.429  0.235  0.384
H  0.760  0.177  0.734
H  0.274  0.381  0.174
H  0.376  0.091  0.656
H  0.240  0.823  0.266
H  0.624  0.909  0.344
H  0.626  0.322  0.511
H  0.048  0.068  0.826
H  0.952  0.932  0.174
C  0.254  0.143  0.610
C  0.867  0.641  0.743
C  0.683  0.191  0.023
C  0.746  0.857  0.390
C  0.120  0.282  0.407
C  0.284  0.220  0.461
C  0.880  0.718  0.593
C  0.133  0.359  0.257
C  0.905  0.189  0.658
C  0.066  0.128  0.709
C  0.306  0.202  0.977
C  0.716  0.780  0.539
C  0.224  0.674  0.558
C  0.317  0.809  0.977
C  0.095  0.811  0.342
C  0.931  0.265  0.506
C  0.934  0.872  0.291
C  0.776  0.326  0.442
C  0.069  0.735  0.494
C  0.694  0.798  0.023
Fe  0.000  0.500  0.000
N  0.023  0.595  0.792
N  0.977  0.405  0.208
N  0.812  0.682  0.024
N  0.188  0.318  0.976
N  0.794  0.389  0.301
N  0.206  0.611  0.699
N  0.201  0.694  0.974
N  0.799  0.306  0.026
Pd  0.500  0.000  0.000

Summary:
The calculated volume comes out at 459.0 Å³/cell. As for the energy above the lowest structure with this stoichiometry: 0.0 meV per atom. The calculated total energy is -7.153 eV/atom.

---

Entry from the Open Quantum Materials Database: a relaxed FeH12PtC20N8 crystal (PBE-GGA).

abc: 7.062 7.092 10.107
angles: 70.92 75.25 89.95
Positions (direct):
H  0.881  0.591  0.658
H  0.447  0.433  0.174
H  0.775  0.879  0.178
H  0.870  0.178  0.491
H  0.069  0.265  0.613
H  0.130  0.822  0.509
H  0.931  0.735  0.387
H  0.119  0.409  0.342
H  0.264  0.674  0.732
H  0.225  0.121  0.822
H  0.736  0.326  0.268
H  0.553  0.567  0.826
N  0.478  0.905  0.209
N  0.700  0.193  0.976
N  0.704  0.111  0.700
N  0.313  0.184  0.022
N  0.300  0.807  0.024
N  0.687  0.816  0.978
N  0.522  0.095  0.791
N  0.296  0.889  0.300
Pt  0.000  0.500  0.000
Fe  0.500  0.000  0.000
C  0.817  0.307  0.980
C  0.566  0.235  0.494
C  0.786  0.720  0.463
C  0.571  0.627  0.709
C  0.758  0.643  0.612
C  0.366  0.142  0.741
C  0.183  0.693  0.020
C  0.410  0.688  0.657
C  0.623  0.782  0.409
C  0.721  0.174  0.559
C  0.279  0.826  0.441
C  0.634  0.858  0.259
C  0.429  0.373  0.291
C  0.214  0.280  0.537
C  0.590  0.312  0.343
C  0.194  0.300  0.020
C  0.242  0.357  0.388
C  0.806  0.700  0.980
C  0.434  0.765  0.506
C  0.377  0.218  0.591

Summary:
The calculated volume comes out at 460.8 Å³/cell. The calculated total energy is -7.196 eV/atom.

---

Entry from the Open Quantum Materials Database: a relaxed FeH12C4S4N10 crystal (PBE-GGA).

abc: 5.111 7.909 8.668
angles: 77.41 84.22 88.98
Last column: magnetic moment on the atom in μB.
Positions (direct):
C  0.357  0.176  0.158  0.02
C  0.877  0.638  0.323  0.00
C  0.643  0.824  0.842  0.02
C  0.123  0.362  0.677  0.00
N  0.089  0.722  0.241  0.00
N  0.774  0.705  0.897  0.03
N  0.790  0.686  0.458  0.01
N  0.793  0.316  0.901  0.04
N  0.079  0.180  0.498  0.00
N  0.210  0.314  0.542  0.01
N  0.226  0.295  0.103  0.03
N  0.207  0.684  0.099  0.04
N  0.921  0.820  0.502  0.00
N  0.911  0.278  0.759  0.00
H  0.003  0.769  0.606  0.00
H  0.827  0.184  0.714  0.00
H  0.629  0.624  0.528  0.00
H  0.395  0.639  0.119  0.00
H  0.605  0.361  0.881  0.00
H  0.371  0.376  0.472  0.00
H  0.225  0.798  0.014  0.00
H  0.173  0.816  0.286  0.00
H  0.213  0.087  0.478  0.00
H  0.787  0.913  0.522  0.00
H  0.775  0.202  0.986  0.00
H  0.997  0.231  0.394  0.00
S  0.279  0.523  0.737  0.05
S  0.545  0.018  0.230  0.02
S  0.455  0.982  0.770  0.02
S  0.721  0.477  0.263  0.05
Fe  0.000  0.500  0.000  3.45

Summary:
The calculated volume comes out at 340.2 Å³/cell. The calculated total energy is -5.986 eV/atom.

---

Entry from the Open Quantum Materials Database: a relaxed Fe3H24C6Se4N6 crystal (PBE-GGA).

abc: 8.834 10.083 11.496
angles: 109.91 96.73 113.64
Last column: magnetic moment on the atom in μB.
Positions (direct):
H  0.828  0.870  0.695  0.00
H  0.025  0.068  0.616  0.00
H  0.509  0.445  0.898  0.00
H  0.467  0.000  0.081  0.00
H  0.937  0.167  0.201  0.00
H  0.542  0.672  0.490  0.00
H  0.028  0.893  0.579  0.00
H  0.488  0.199  0.292  0.00
H  0.172  0.130  0.305  0.00
H  0.491  0.555  0.102  0.00
H  0.584  0.955  0.653  0.00
H  0.218  0.181  0.965  0.00
H  0.639  0.268  0.958  0.00
H  0.947  0.081  0.793  0.00
H  0.972  0.107  0.421  0.00
H  0.336  0.048  0.504  0.00
H  0.314  0.757  0.178  0.00
H  0.686  0.243  0.822  0.00
H  0.063  0.833  0.799  0.00
H  0.263  0.934  0.113  0.00
H  0.458  0.328  0.510  0.00
H  0.376  0.531  0.259  0.00
H  0.053  0.919  0.207  0.00
H  0.023  0.077  0.087  0.00
H  0.540  0.174  0.596  0.00
H  0.416  0.045  0.347  0.00
H  0.737  0.066  0.887  0.00
H  0.260  0.256  0.549  0.00
H  0.286  0.830  0.577  0.00
H  0.464  0.529  0.712  0.00
H  0.975  0.932  0.384  0.00
H  0.460  0.826  0.404  0.00
H  0.312  0.401  0.822  0.00
H  0.740  0.744  0.451  0.00
H  0.258  0.812  0.709  0.00
H  0.742  0.188  0.291  0.00
H  0.298  0.059  0.972  0.00
H  0.536  0.471  0.288  0.00
H  0.361  0.732  0.042  0.00
H  0.624  0.469  0.741  0.00
H  0.702  0.941  0.028  0.00
H  0.664  0.952  0.496  0.00
H  0.977  0.923  0.913  0.00
H  0.714  0.170  0.423  0.00
H  0.533  0.000  0.919  0.00
H  0.512  0.801  0.708  0.00
H  0.688  0.599  0.178  0.00
H  0.782  0.819  0.035  0.00
C  0.603  0.042  0.854  0.00
C  0.948  0.057  0.155  0.00
C  0.042  0.028  0.255  0.00
C  0.398  0.290  0.580  0.00
C  0.052  0.943  0.845  0.00
C  0.487  0.086  0.283  0.00
C  0.397  0.958  0.146  0.00
C  0.516  0.572  0.287  0.00
C  0.513  0.914  0.717  0.00
C  0.958  0.972  0.745  0.00
C  0.602  0.710  0.420  0.00
C  0.484  0.428  0.713  0.00
Fe  0.977  0.528  0.386  2.44
Fe  0.023  0.472  0.614  2.44
Fe  0.661  0.877  0.245  3.62
Fe  0.339  0.123  0.755  3.62
Fe  0.014  0.470  0.866  2.70
Fe  0.986  0.530  0.134  2.70
Se  0.763  0.358  0.185  0.10
Se  0.121  0.393  0.015  0.09
Se  0.140  0.751  0.345  0.10
Se  0.237  0.642  0.815  0.10
Se  0.860  0.249  0.655  0.10
Se  0.831  0.549  0.540  0.07
Se  0.879  0.607  0.985  0.09
Se  0.169  0.451  0.460  0.07
N  0.404  0.812  0.138  0.06
N  0.336  0.890  0.676  0.06
N  0.587  0.624  0.190  0.04
N  0.941  0.000  0.346  0.04
N  0.228  0.080  0.910  0.04
N  0.414  0.152  0.586  0.06
N  0.772  0.920  0.090  0.04
N  0.664  0.110  0.324  0.06
N  0.059  0.000  0.654  0.04
N  0.413  0.376  0.810  0.04
N  0.596  0.188  0.862  0.06
N  0.586  0.848  0.414  0.06

Summary:
The calculated volume comes out at 842.8 Å³/cell. The calculated total energy is -5.423 eV/atom.

---

Entry from the Open Quantum Materials Database: a relaxed Hf4FeC3 crystal (PBE-GGA).

abc: 3.268 3.268 23.818
angles: 90.00 90.00 120.00
Last column: magnetic moment on the atom in μB.
Positions (direct):
Hf  0.333  0.667  0.445  0.00
Hf  0.000  0.000  0.167  -0.22
Hf  0.000  0.000  0.667  -0.22
Hf  0.667  0.333  0.555  0.00
Hf  0.667  0.333  0.945  0.00
Hf  0.000  0.000  0.333  -0.22
Hf  0.000  0.000  0.833  -0.22
Hf  0.333  0.667  0.055  0.00
C  0.333  0.667  0.886  0.02
C  0.000  0.000  0.500  0.00
C  0.333  0.667  0.614  0.02
C  0.667  0.333  0.386  0.02
C  0.667  0.333  0.114  0.02
C  0.000  0.000  0.000  0.00
Fe  0.667  0.333  0.750  1.67
Fe  0.333  0.667  0.250  1.67

Summary:
The calculated volume comes out at 220.3 Å³/cell. The calculated total energy is -10.125 eV/atom.

---

Entry from the Open Quantum Materials Database: a relaxed HfFeC2 crystal (PBE-GGA).

abc: 3.162 3.162 4.378
angles: 90.00 90.00 90.00
Last column: magnetic moment on the atom in μB.
Positions (direct):
C  0.500  0.500  0.500  0.03
C  0.000  0.000  0.000  0.04
Fe  0.000  0.000  0.500  2.51
Hf  0.500  0.500  0.000  0.11

Summary:
The calculated volume comes out at 43.8 Å³/cell. The calculated total energy is -9.047 eV/atom.

---

Entry from the Open Quantum Materials Database: a relaxed Hf3FeC crystal (PBE-GGA).

abc: 5.854 5.854 8.714
angles: 90.00 90.00 147.55
Positions (direct):
Hf  0.634  0.366  0.062
Hf  0.934  0.066  0.250
Hf  0.366  0.634  0.562
Hf  0.066  0.934  0.750
Hf  0.634  0.366  0.438
Hf  0.366  0.634  0.938
Fe  0.254  0.746  0.250
Fe  0.746  0.254  0.750
C  0.000  0.000  0.000
C  0.000  0.000  0.500

Summary:
The calculated volume comes out at 160.3 Å³/cell. The calculated total energy is -9.934 eV/atom.

---

Entry from the Open Quantum Materials Database: a relaxed Lu4Hf2Fe3C3 crystal (PBE-GGA).

abc: 5.870 5.870 14.443
angles: 102.09 102.09 59.76
Last column: magnetic moment on the atom in μB.
Positions (direct):
Hf  0.474  0.646  0.920  -0.17
Hf  0.526  0.354  0.080  -0.17
Hf  0.646  0.474  0.420  -0.17
Hf  0.354  0.526  0.580  -0.17
Lu  0.702  0.873  0.604  -0.08
Lu  0.298  0.127  0.396  -0.08
Lu  0.197  0.040  0.104  -0.07
Lu  0.040  0.197  0.604  -0.08
Lu  0.127  0.298  0.896  -0.07
Lu  0.873  0.702  0.104  -0.07
Lu  0.960  0.803  0.396  -0.08
Lu  0.803  0.960  0.896  -0.07
C  0.338  0.824  0.500  0.02
C  0.500  0.000  0.000  0.01
C  0.824  0.338  0.000  0.02
C  0.176  0.662  0.000  0.02
C  0.662  0.176  0.500  0.02
C  0.000  0.500  0.500  0.01
Fe  0.807  0.423  0.250  2.38
Fe  0.653  0.347  0.750  2.40
Fe  0.193  0.577  0.750  2.38
Fe  0.577  0.193  0.250  2.38
Fe  0.423  0.807  0.750  2.38
Fe  0.347  0.653  0.250  2.40

Summary:
The calculated volume comes out at 417.2 Å³/cell. The calculated total energy is -7.751 eV/atom.

---

Entry from the Open Quantum Materials Database: a relaxed Hf4Fe3Mo2C3 crystal (PBE-GGA).

abc: 5.398 5.398 14.405
angles: 101.47 101.47 60.24
Last column: magnetic moment on the atom in μB.
Positions (direct):
Hf  0.699  0.869  0.594  -0.22
Hf  0.301  0.131  0.406  -0.22
Hf  0.131  0.301  0.906  -0.21
Hf  0.036  0.197  0.594  -0.22
Hf  0.869  0.699  0.094  -0.21
Hf  0.197  0.036  0.094  -0.22
Hf  0.803  0.964  0.906  -0.22
Hf  0.964  0.803  0.406  -0.22
C  0.179  0.661  0.000  0.01
C  0.000  0.500  0.500  0.00
C  0.821  0.339  0.000  0.01
C  0.339  0.821  0.500  0.01
C  0.500  0.000  0.000  0.00
C  0.661  0.179  0.500  0.01
Fe  0.899  0.582  0.749  2.12
Fe  0.418  0.101  0.751  1.99
Fe  0.101  0.418  0.251  2.12
Fe  0.072  0.928  0.250  2.01
Fe  0.928  0.072  0.750  2.01
Fe  0.582  0.899  0.249  1.99
Mo  0.357  0.531  0.585  -0.12
Mo  0.469  0.643  0.915  -0.11
Mo  0.643  0.469  0.415  -0.12
Mo  0.531  0.357  0.085  -0.11

Summary:
The calculated volume comes out at 354.7 Å³/cell. The calculated total energy is -9.602 eV/atom.

---

Entry from the Open Quantum Materials Database: a relaxed Hf3FeCN crystal (PBE-GGA).

abc: 3.205 3.205 18.497
angles: 90.00 90.00 120.00
Last column: magnetic moment on the atom in μB.
Positions (direct):
Hf  0.667  0.333  0.355  -0.17
Hf  0.000  0.000  0.500  0.02
Hf  0.333  0.667  0.645  -0.17
Hf  0.333  0.667  0.855  -0.15
Hf  0.667  0.333  0.145  -0.15
Hf  0.000  0.000  0.000  -0.01
Fe  0.000  0.000  0.253  1.27
Fe  0.000  0.000  0.747  1.27
N  0.333  0.667  0.431  -0.01
N  0.667  0.333  0.569  -0.01
C  0.333  0.667  0.075  0.00
C  0.667  0.333  0.925  0.00

Summary:
The calculated volume comes out at 164.5 Å³/cell. The calculated total energy is -10.132 eV/atom.

---

Entry from the Open Quantum Materials Database: a relaxed Hf4Nb2Fe3C3 crystal (PBE-GGA).

abc: 5.466 5.466 13.705
angles: 90.38 101.14 119.94
Last column: magnetic moment on the atom in μB.
Positions (direct):
Hf  0.398  0.035  0.596  -0.19
Hf  0.604  0.133  0.904  -0.19
Hf  0.061  0.198  0.096  -0.19
Hf  0.729  0.700  0.596  -0.19
Hf  0.602  0.965  0.404  -0.19
Hf  0.939  0.802  0.904  -0.19
Hf  0.396  0.867  0.096  -0.19
Hf  0.271  0.300  0.404  -0.19
C  0.000  0.500  0.000  0.01
C  0.341  0.182  0.000  0.01
C  0.659  0.818  0.000  0.01
C  0.318  0.659  0.500  0.01
C  0.682  0.341  0.500  0.01
C  0.000  0.000  0.500  0.01
Nb  0.067  0.368  0.602  -0.13
Nb  0.733  0.535  0.102  -0.13
Nb  0.267  0.465  0.898  -0.13
Nb  0.933  0.632  0.398  -0.13
Fe  0.665  0.419  0.751  1.54
Fe  0.343  0.093  0.250  1.58
Fe  0.657  0.907  0.750  1.58
Fe  0.335  0.581  0.249  1.54
Fe  0.168  0.915  0.749  1.54
Fe  0.832  0.085  0.251  1.54

Summary:
The calculated volume comes out at 345.6 Å³/cell. The calculated total energy is -9.621 eV/atom.